Below is crystalline Na2TiWO6 at its relaxed geometry, with properties calculated at the PBE+U level.

```
10
Lattice="5.521 0.000 0.000 0.000 5.521 0.000 0.000 0.000 3.955" Properties=species:S:1:pos:R:3 pbc="T T T"
Na 0.000 2.761 0.000
Na 2.761 0.000 0.000
Ti 0.000 0.000 1.960
W 2.761 2.761 2.078
O 0.000 0.000 0.192
O 1.403 1.403 2.151
O 1.403 4.119 2.151
O 2.761 2.761 0.153
O 4.119 1.403 2.151
O 4.119 4.119 2.151
```

SG	P4mm (99)
density of states at the Fermi level	0.0	states/eV/f.u.
E	-7.060	eV per atom
crystal system	tetragonal
volume	120.6	Å³ per cell